Here is ZrTa2Ir after structural relaxation from Alexandria via LeMat-Bulk. Energies are from GGA-PBEsol.

CIF file:
```
data_ZrTa2Ir
_symmetry_space_group_name_H-M 'P 1'
_symmetry_Int_Tables_number 1
_cell_length_a 3.291
_cell_length_b 4.529
_cell_length_c 4.634
_cell_angle_alpha 90.00
_cell_angle_beta 90.00
_cell_angle_gamma 90.00
loop_
_symmetry_equiv_pos_as_xyz
'x,y,z'
loop_
_atom_site_label
_atom_site_type_symbol
_atom_site_fract_x
_atom_site_fract_y
_atom_site_fract_z
_atom_site_occupancy
Ta1 Ta 0.500 0.500 0.000 1
Ta2 Ta 0.000 0.000 0.000 1
Zr1 Zr 0.500 0.000 0.500 1
Ir1 Ir 0.000 0.500 0.500 1
```

## Properties
- E (eV for the cell shown) = -45.4
- spin magnetization (μB/f.u.) = 0.000
- calculated volume (Å³ per cell) = 69.1
- symmetry = Pmmm, No. 47